[1]
Li2CuMo: optimized geometry, PBE-GGA.

Lattice parameters (Å, degrees): 5.9657 5.9657 5.9657 90.00 90.00 90.00
Space group F-43m (No. 216)
Asymmetric unit:
Li: 0.0000 0.0000 0.0000 x4
Li: 0.2500 0.2500 0.2500 x4
Cu: 0.0000 0.0000 0.5000 x4
Mo: 0.2500 0.2500 0.7500 x4

Properties
Spin magnetization (μB per formula unit): 1.00



[2]
AlPd5: optimized geometry, PBE-GGA.

Lattice parameters (Å, degrees): 10.8533 4.0240 8.1752 90.00 90.00 90.00
Space group Pnma (No. 62)
Asymmetric unit:
Al: 0.0797 0.2500 0.1143 x4
Pd: 0.0429 0.2500 0.7820 x4
Pd: 0.0697 0.2500 0.4287 x4
Pd: 0.1640 0.7500 0.9557 x4
Pd: 0.1840 0.7500 0.6147 x4
Pd: 0.2035 0.7500 0.2850 x4



[3]
LiGePd2: optimized geometry, PBE-GGA.

Lattice parameters (Å, degrees): 6.1706 6.1706 6.1706 90.00 90.00 90.00
Space group F-43m (No. 216)
Asymmetric unit:
Li: 0.0000 0.0000 0.0000 x4
Ge: 0.2500 0.2500 0.7500 x4
Pd: 0.0000 0.0000 0.5000 x4
Pd: 0.2500 0.2500 0.2500 x4



[4]
NaGa2Hg2: optimized geometry, PBE-GGA.

Lattice parameters (Å, degrees): 4.1865 4.1865 13.3696 90.00 90.00 90.00
Space group I4/mmm (No. 139)
Asymmetric unit:
Na: 0.0000 0.0000 0.0000 x2
Ga: 0.0000 0.5000 0.2500 x4
Hg: 0.0000 0.0000 0.3948 x4



[5]
PrCoB4: optimized geometry, PBE-GGA.

Lattice parameters (Å, degrees): 3.1255 5.3696 7.9457 90.00 90.00 90.00
Space group Immm (No. 71)
Asymmetric unit:
Pr: 0.0000 0.0000 0.0000 x2
Co: 0.0000 0.0000 0.5000 x2
B: 0.0000 0.3339 0.2475 x8

Properties
Energy above the most stable polymorph in this dataset (eV/atom): 0.2884
Spin magnetization (μB per formula unit): 1.60



[6]
CdTeAsO: optimized geometry, PBE-GGA.

Lattice parameters (Å, degrees): 4.5811 6.5221 5.8755 90.00 90.00 90.00
Space group Pmc2_1 (No. 26)
Asymmetric unit:
Cd: 0.0000 0.1463 0.0000 x2
Te: 0.5000 0.2476 0.4241 x2
As: 0.5000 0.3143 0.8712 x2
O: 0.0000 0.1910 0.3911 x2

Properties
Energy above the most stable polymorph in this dataset (eV/atom): 0.0000



[7]
Sc2Al3Zn3: optimized geometry, PBE-GGA.

Lattice parameters (Å, degrees): 4.5790 5.8461 10.0946 90.00 90.00 90.00
Space group Amm2 (No. 38)
Asymmetric unit:
Sc: 0.0000 0.0000 0.0000 x2
Sc: 0.5000 0.0000 0.3370 x2
Al: 0.0000 0.0000 0.5082 x2
Al: 0.5000 0.2406 0.5902 x4
Zn: 0.0000 0.2432 0.7480 x4
Zn: 0.5000 0.0000 0.8284 x2

Properties
Energy above the most stable polymorph in this dataset (eV/atom): 0.0000
Spin magnetization (μB per formula unit): 0.00



[8]
Sm2YSbO6: optimized geometry, PBE-GGA.

Lattice parameters (Å, degrees): 5.3000 5.3235 6.2043 107.71 113.85 96.35
Space group P-1 (No. 2)
Asymmetric unit:
Sm: 0.2306 0.2314 0.4964 x2
Y: 0.0000 0.5000 0.0000 x1
Sb: 0.5000 0.0000 0.0000 x1
O: 0.1691 0.1586 0.8350 x2
O: 0.1894 0.6434 0.7513 x2
O: 0.3825 0.9149 0.2460 x2

Properties
Spin magnetization (μB per formula unit): 0.03



[9]
Np2UAs3: optimized geometry, PBE-GGA.

Lattice parameters (Å, degrees): 4.1066 5.8020 12.3053 90.00 90.00 90.00
Space group Immm (No. 71)
Asymmetric unit:
Np: 0.0000 0.0000 0.1670 x4
U: 0.0000 0.0000 0.5000 x2
As: 0.0000 0.5000 0.1660 x4
As: 0.0000 0.5000 0.5000 x2

Properties
Spin magnetization (μB per formula unit): 10.33



[10]
Ag5Te2Cl: optimized geometry, PBE-GGA.

Lattice parameters (Å, degrees): 13.9717 7.8114 19.8504 90.00 134.73 90.00
Space group P2_1/c (No. 14)
Asymmetric unit:
Ag: 0.0048 0.1304 0.0760 x4
Ag: 0.0602 0.7308 0.2060 x4
Ag: 0.1478 0.2304 0.2938 x4
Ag: 0.1817 0.0588 0.9317 x4
Ag: 0.1819 0.6245 0.0796 x4
Ag: 0.2504 0.0149 0.1107 x4
Ag: 0.3536 0.6296 0.4245 x4
Ag: 0.3680 0.1417 0.6181 x4
Ag: 0.4711 0.0153 0.1109 x4
Ag: 0.4773 0.6243 0.0796 x4
Te: 0.0784 0.2099 0.4885 x4
Te: 0.1230 0.7102 0.8727 x4
Te: 0.3983 0.2098 0.4883 x4
Te: 0.4406 0.7477 0.6906 x4
Cl: 0.2414 0.5022 0.7463 x4
Cl: 0.2489 0.0025 0.7539 x4



[11]
Sc3Zn2Ga4: optimized geometry, PBE-GGA.

Lattice parameters (Å, degrees): 9.9371 4.3153 8.1669 90.00 115.32 90.00
Space group C2/m (No. 12)
Asymmetric unit:
Sc: 0.0000 0.0000 0.0000 x2
Sc: 0.1652 0.5000 0.6673 x4
Zn: 0.1133 0.5000 0.2814 x4
Ga: 0.0585 0.0000 0.3895 x4
Ga: 0.2194 0.5000 0.0571 x4

Properties
Spin magnetization (μB per formula unit): 0.02



[12]
AlFeAg2: optimized geometry, PBE-GGA.

Lattice parameters (Å, degrees): 6.2209 6.2209 6.2209 90.00 90.00 90.00
Space group F-43m (No. 216)
Asymmetric unit:
Al: 0.0000 0.0000 0.0000 x4
Fe: 0.2500 0.2500 0.2500 x4
Ag: 0.0000 0.0000 0.5000 x4
Ag: 0.2500 0.2500 0.7500 x4

Properties
Spin magnetization (μB per formula unit): 2.44



Listing energy for the structures above in their given order: -4.04, -5.40, -4.63, -1.66, -6.30, -3.65, -3.82, -7.50, -9.22, -2.97, -4.28, -4.25 eV per atom.